{"formula": "Rb5SrCl6", "functional": "PBE", "state": "relaxed", "dft_energy_ev_per_atom": -3.3495, "formation_energy_uncorrected_ev_per_atom": -1.883, "lattice_angstrom": [[-3.862, 4.486, 5.872], [-3.829, -5.143, 5.204], [3.980, -2.835, 6.680]], "species": ["Cl", "Cl", "Cl", "Cl", "Cl", "Cl", "Rb", "Rb", "Rb", "Rb", "Rb", "Sr"], "fractional_positions": [[0.217, 0.927, 0.708], [0.783, 0.364, 0.708], [0.783, 0.073, 0.292], [0.221, 0.220, 0.000], [0.217, 0.636, 0.292], [0.779, 0.780, 0.000], [0.500, 0.834, 0.331], [0.000, 0.667, 0.666], [0.000, 0.333, 0.334], [0.500, 0.166, 0.669], [0.500, 0.500, 0.000], [0.000, 0.000, 0.000]]}



{"formula": "Rb2SrTaCl6", "functional": "PBE", "state": "relaxed", "dft_energy_ev_per_atom": -4.2621, "formation_energy_uncorrected_ev_per_atom": -1.607, "lattice_angstrom": [[-5.739, -4.990, 0.189], [2.593, -2.733, 6.609], [-4.591, -0.290, 6.059]], "species": ["Sr", "Rb", "Rb", "Cl", "Cl", "Cl", "Cl", "Cl", "Cl", "Ta"], "fractional_positions": [[0.500, 0.500, 0.000], [0.750, 0.250, 0.500], [0.250, 0.750, 0.500], [0.236, 0.236, 0.000], [0.236, 0.764, 0.000], [0.764, 0.236, 0.000], [0.764, 0.764, 0.473], [0.236, 0.236, 0.527], [0.764, 0.764, 0.000], [0.000, 0.000, 0.000]]}



{"formula": "RbSrTbCl6", "functional": "PBE", "state": "relaxed", "dft_energy_ev_per_atom": -4.3520, "formation_energy_uncorrected_ev_per_atom": -2.312, "lattice_angstrom": [[7.404, 0.000, 0.000], [-3.702, 6.412, 0.000], [0.000, 0.000, 13.940]], "species": ["Cl", "Cl", "Cl", "Cl", "Cl", "Cl", "Cl", "Cl", "Cl", "Cl", "Cl", "Cl", "Sr", "Sr", "Tb", "Tb", "Rb", "Rb"], "fractional_positions": [[0.975, 0.359, 0.141], [0.384, 0.359, 0.359], [0.975, 0.616, 0.359], [0.025, 0.384, 0.641], [0.025, 0.641, 0.859], [0.641, 0.025, 0.359], [0.359, 0.975, 0.641], [0.616, 0.641, 0.641], [0.384, 0.025, 0.141], [0.641, 0.616, 0.141], [0.359, 0.384, 0.859], [0.616, 0.975, 0.859], [0.667, 0.333, 0.750], [0.333, 0.667, 0.250], [0.333, 0.667, 0.750], [0.667, 0.333, 0.250], [0.000, 0.000, 0.000], [0.000, 0.000, 0.500]]}



{"formula": "Rb2SrTeCl6", "functional": "PBE", "state": "relaxed", "dft_energy_ev_per_atom": -3.2604, "formation_energy_uncorrected_ev_per_atom": -1.477, "lattice_angstrom": [[8.413, 0.000, 0.000], [0.000, 8.413, 0.000], [4.206, 4.206, 5.430]], "species": ["Cl", "Cl", "Cl", "Cl", "Cl", "Cl", "Rb", "Rb", "Sr", "Te"], "fractional_positions": [[0.738, 0.262, 0.000], [0.766, 0.766, 0.468], [0.738, 0.738, 0.000], [0.262, 0.738, 0.000], [0.262, 0.262, 0.000], [0.234, 0.234, 0.532], [0.750, 0.250, 0.500], [0.250, 0.750, 0.500], [0.500, 0.500, 0.000], [0.000, 0.000, 0.000]]}



Repeat the second record exactly.
{"formula": "Rb2SrTaCl6", "functional": "PBE", "state": "relaxed", "dft_energy_ev_per_atom": -4.2621, "formation_energy_uncorrected_ev_per_atom": -1.607, "lattice_angstrom": [[-5.739, -4.990, 0.189], [2.593, -2.733, 6.609], [-4.591, -0.290, 6.059]], "species": ["Sr", "Rb", "Rb", "Cl", "Cl", "Cl", "Cl", "Cl", "Cl", "Ta"], "fractional_positions": [[0.500, 0.500, 0.000], [0.750, 0.250, 0.500], [0.250, 0.750, 0.500], [0.236, 0.236, 0.000], [0.236, 0.764, 0.000], [0.764, 0.236, 0.000], [0.764, 0.764, 0.473], [0.236, 0.236, 0.527], [0.764, 0.764, 0.000], [0.000, 0.000, 0.000]]}